Tb2PmO4 after structural relaxation. Source: OQMD, functional PBE. Values from VASP.

Cell and atoms, written as Quantum ESPRESSO input:
```
&SYSTEM
  ibrav = 0, nat = 14, ntyp = 3
/
ATOMIC_SPECIES
O 16.00 O.upf
Tb 158.93 Tb.upf
Pm 145.00 Pm.upf
CELL_PARAMETERS angstrom
4.8480 -4.8495 0.0000
-4.8480 0.0000 -4.8495
4.8480 4.8495 0.0000
ATOMIC_POSITIONS crystal
O 0.6144 0.2286 0.8430
O 0.1356 0.2714 0.4070
O 0.1356 0.7286 0.8642
O 0.6142 0.2286 0.3856
O 0.1358 0.2714 0.8644
O 0.5930 0.7286 0.8644
O 0.1570 0.7714 0.3856
O 0.6144 0.7714 0.3858
Tb 0.8750 0.2500 0.6250
Tb 0.3750 0.7500 0.1250
Tb 0.3750 0.7500 0.6250
Tb 0.3750 0.2500 0.6250
Pm 0.7500 0.5000 0.2500
Pm 0.0000 0.0000 0.0000
```

theoretical density: 7.67 g/cm³
raw total energy: -8.03 eV/atom